No. 1
The following is a PBE calculation of crystalline BaSn2Te at its relaxed geometry, from Alexandria via LeMat-Bulk.

Calculated values
Space-group type: I-42d (122)

a = 9.4574 Å, b = 9.4574 Å, c = 7.4566 Å
α = 50.64°, β = 50.64°, γ = 90.00°
Atoms (fractional coordinates):
Sn 0.3750 0.4141 0.7500
Sn 0.1641 0.6250 0.2500
Sn 0.5859 0.1250 0.2500
Sn 0.8750 0.8359 0.7500
Te 0.5000 0.5000 0.0000
Te 0.2500 0.7500 0.5000
Ba 0.7500 0.2500 0.5000
Ba 0.0000 0.0000 0.0000



No. 2
The following is a PBE calculation of crystalline BaTlSnTe2 at its relaxed geometry, from Alexandria via LeMat-Bulk.

Calculated values
Space-group type: P4/mmm (123)

a = 6.1081 Å, b = 5.4546 Å, c = 6.1081 Å
α = 90.00°, β = 90.00°, γ = 90.00°
Atoms (fractional coordinates):
Te 0.5000 0.0000 0.0000
Te 0.0000 0.0000 0.5000
Ba 0.5000 0.5000 0.5000
Tl 0.0000 0.0000 0.0000
Sn 0.0000 0.5000 0.0000



No. 3
The following is a PBE calculation of crystalline BaTl2SnTe at its relaxed geometry, from Alexandria via LeMat-Bulk.

Calculated values
Space-group type: P4/mmm (123)

a = 5.9373 Å, b = 6.1189 Å, c = 5.9373 Å
α = 90.00°, β = 90.00°, γ = 90.00°
Atoms (fractional coordinates):
Ba 0.5000 0.5000 0.5000
Te 0.0000 0.0000 0.0000
Tl 0.0000 0.0000 0.5000
Tl 0.5000 0.0000 0.0000
Sn 0.0000 0.5000 0.0000



No. 4
The following is a PBE calculation of crystalline BaTl2SnTe4 at its relaxed geometry, from Alexandria via LeMat-Bulk.

Calculated values
Space-group type: Imma (74)

a = 9.4097 Å, b = 9.4097 Å, c = 9.7015 Å
α = 121.03°, β = 121.03°, γ = 89.19°
Atoms (fractional coordinates):
Te 0.2507 0.7732 0.0120
Te 0.7426 0.7574 0.9769
Te 0.7494 0.2268 0.9880
Te 0.7426 0.7574 0.5231
Te 0.2732 0.7506 0.5120
Te 0.2574 0.2426 0.4769
Te 0.7268 0.2493 0.4880
Te 0.2574 0.2426 0.0231
Ba 0.0000 0.5000 0.5000
Ba 0.0000 0.5000 0.0000
Sn 0.0000 0.0000 0.0000
Sn 0.5000 0.5000 0.5000
Tl 0.5000 0.0000 0.0000
Tl 0.0000 0.0000 0.5000
Tl 0.5000 0.5000 0.0000
Tl 0.5000 0.0000 0.5000



No. 5
The following is a PBE calculation of crystalline Ba2TlSnTe4 at its relaxed geometry, from Alexandria via LeMat-Bulk.

Calculated values
Space-group type: Imma (74)

a = 9.6354 Å, b = 9.6354 Å, c = 9.6415 Å
α = 120.02°, β = 120.02°, γ = 90.11°
Atoms (fractional coordinates):
Ba 0.0000 0.0000 0.5000
Ba 0.5000 0.0000 0.0000
Ba 0.5000 0.0000 0.5000
Ba 0.5000 0.5000 0.0000
Te 0.2463 0.2534 0.0164
Te 0.2501 0.7316 0.4909
Te 0.2466 0.2537 0.4836
Te 0.7499 0.2684 0.5091
Te 0.7684 0.2499 0.0091
Te 0.7537 0.7466 0.9836
Te 0.7534 0.7463 0.5164
Te 0.2316 0.7501 0.9909
Sn 0.5000 0.5000 0.5000
Sn 0.0000 0.0000 0.0000
Tl 0.0000 0.5000 0.5000
Tl 0.0000 0.5000 0.0000



No. 6
The following is a PBE calculation of crystalline Ba2TmSnTe5 at its relaxed geometry, from Alexandria via LeMat-Bulk.

Calculated values
Space-group type: Cmc2_1 (36)

a = 4.7058 Å, b = 10.3362 Å, c = 14.2345 Å
α = 90.00°, β = 90.00°, γ = 103.16°
Atoms (fractional coordinates):
Sn 0.5478 0.0956 0.9459
Sn 0.4522 0.9044 0.4459
Te 0.3144 0.6288 0.3735
Te 0.4923 0.9847 0.7593
Te 0.9465 0.8931 0.5681
Te 0.6856 0.3712 0.8735
Te 0.7120 0.4240 0.1596
Te 0.3576 0.7151 0.0004
Te 0.5077 0.0153 0.2593
Te 0.2880 0.5760 0.6596
Te 0.6424 0.2849 0.5004
Te 0.0535 0.1069 0.0681
Ba 0.8840 0.7680 0.1823
Ba 0.1160 0.2320 0.6823
Ba 0.8654 0.7307 0.8138
Ba 0.1346 0.2693 0.3138
Tm 0.7902 0.5803 0.5212
Tm 0.2098 0.4197 0.0212



No. 7
The following is a PBE calculation of crystalline Ba2ZnSnTe5 at its relaxed geometry, from Alexandria via LeMat-Bulk.

Calculated values
Space-group type: Cmc2_1 (36)

a = 4.5661 Å, b = 11.5136 Å, c = 12.6855 Å
α = 90.00°, β = 90.00°, γ = 101.44°
Atoms (fractional coordinates):
Sn 0.2361 0.4722 0.0141
Sn 0.7639 0.5278 0.5141
Te 0.4992 0.9984 0.2619
Te 0.6344 0.2689 0.5156
Te 0.7277 0.4554 0.8516
Te 0.5008 0.0016 0.7619
Te 0.9127 0.8254 0.5251
Te 0.2738 0.5476 0.6757
Te 0.3656 0.7311 0.0156
Te 0.2723 0.5446 0.3516
Te 0.0873 0.1746 0.0251
Te 0.7262 0.4524 0.1757
Ba 0.8842 0.7685 0.2252
Ba 0.1135 0.2270 0.3069
Ba 0.1158 0.2315 0.7252
Ba 0.8865 0.7730 0.8069
Zn 0.5471 0.0942 0.9478
Zn 0.4529 0.9058 0.4478



No. 8
The following is a PBE calculation of crystalline BaZr2SnTe at its relaxed geometry, from Alexandria via LeMat-Bulk.

Calculated values
Space-group type: P4/mmm (123)

a = 5.4841 Å, b = 6.2191 Å, c = 5.4841 Å
α = 90.00°, β = 90.00°, γ = 90.00°
Atoms (fractional coordinates):
Te 0.0000 0.5000 0.0000
Ba 0.5000 0.5000 0.5000
Sn 0.0000 0.0000 0.0000
Zr 0.5000 0.0000 0.0000
Zr 0.0000 0.0000 0.5000



Number 1: E_tot -3.6176 eV per atom, M_tot 0.0 μB per formula unit, calculated density 5.7 g/cm3. Number 2: E_tot -3.1423 eV per atom, M_tot 0.0 μB per formula unit, calculated density 5.8 g/cm3. Number 3: E_tot -2.7210 eV per atom, M_tot 0.0 μB per formula unit, calculated density 6.1 g/cm3. Number 4: E_tot -3.4317 eV per atom, M_tot 0.0 μB per formula unit, calculated density 6.6 g/cm3. Number 5: E_tot -3.7584 eV per atom, M_tot 0.0 μB per formula unit, calculated density 5.8 g/cm3. Number 6: E_tot -4.3281 eV per atom, M_tot 0.0 μB per formula unit, calculated density 5.9 g/cm3. Number 7: E_tot -3.6573 eV per atom, M_tot 0.0 μB per formula unit, calculated density 5.6 g/cm3. Number 8: E_tot -4.7927 eV per atom, M_tot 3.2 μB per formula unit, calculated density 5.0 g/cm3.